a:
DFT (PBE) results for K4Sr5 after structural relaxation.

Lattice parameters (Å, degrees): 10.904 10.904 10.904 92.78 92.78 154.54
Fractional positions:
K1 0.000 0.332 0.332
Sr1 0.663 0.337 0.000
Sr2 0.337 0.663 0.000
Sr3 0.663 0.663 0.326
Sr4 0.337 0.337 0.674
Sr5 0.000 0.000 0.000
K2 0.332 0.000 0.332
K3 0.000 0.668 0.668
K4 0.668 0.000 0.668

Output
spin magnetization: 0.00 μB/cell
ρ: 1.82 g/cm3
space group: No. 139


b:
DFT (PBE) results for K4Sr5 after structural relaxation.

Lattice parameters (Å, degrees): 12.408 12.408 8.296 90.00 90.00 120.00
Fractional positions:
K1 0.296 0.000 0.250
K2 0.296 0.296 0.750
Sr1 0.333 0.667 0.000
K3 0.000 0.000 0.000
K4 0.000 0.704 0.750
Sr2 0.667 0.333 0.000
K5 0.000 0.296 0.250
Sr3 0.333 0.667 0.500
Sr4 0.382 0.382 0.250
K6 0.000 0.000 0.500
Sr5 0.618 0.618 0.750
Sr6 0.000 0.382 0.750
Sr7 0.618 0.000 0.250
Sr8 0.000 0.618 0.250
K7 0.704 0.000 0.750
K8 0.704 0.704 0.250
Sr9 0.667 0.333 0.500
Sr10 0.382 0.000 0.750

Output
spin magnetization: 0.00 μB/cell
ρ: 1.79 g/cm3
space group: No. 193


Quick one: most stable of them? a


a:
DFT (PBE) results for KSr2Ta after structural relaxation.

Lattice parameters (Å, degrees): 3.705 6.353 6.353 90.00 90.00 90.00
Site moments in Bohr magnetons follow the coordinates.
Fractional positions:
Sr1 0.000 0.000 0.000  0.03
Sr2 0.000 0.500 0.500  0.03
K1 0.500 0.000 0.500  -0.01
Ta1 0.500 0.500 0.000  1.27

Output
spin magnetization: 2.30 μB/cell
ρ: 4.39 g/cm3
space group: No. 123


b:
DFT (PBE) results for KSr2Ta after structural relaxation.

Lattice parameters (Å, degrees): 13.349 13.349 13.349 15.69 15.69 15.69
Fractional positions:
Ta1 0.250 0.250 0.250
Sr1 0.982 0.982 0.982
Sr2 0.518 0.518 0.518
K1 0.750 0.750 0.750

Output
spin magnetization: 0.00 μB/cell
ρ: 4.33 g/cm3
space group: No. 166


Quick one: most stable of them? b


a:
DFT (PBE) results for KSr3Ta after structural relaxation.

Lattice parameters (Å, degrees): 6.238 6.238 6.238 90.00 90.00 90.00
Site moments in Bohr magnetons follow the coordinates.
Fractional positions:
Ta1 0.000 0.000 0.000  0.22
Sr1 0.000 0.000 0.500  0.01
Sr2 0.000 0.500 0.000  0.01
Sr3 0.500 0.000 0.000  0.01
K1 0.500 0.500 0.500  0.00

Output
spin magnetization: 0.47 μB/cell
ρ: 3.30 g/cm3
space group: No. 221


b:
DFT (PBE) results for KSr3Ta after structural relaxation.

Lattice parameters (Å, degrees): 6.066 6.066 6.066 90.00 90.00 90.00
Site moments in Bohr magnetons follow the coordinates.
Fractional positions:
K1 0.000 0.000 0.000  -0.13
Sr1 0.000 0.000 0.500  -0.11
Sr2 0.500 0.000 0.000  -0.06
Sr3 0.000 0.500 0.000  -0.10
Ta1 0.500 0.500 0.500  1.90

Output
spin magnetization: 2.00 μB/cell
ρ: 3.59 g/cm3
space group: No. 221


Quick one: most stable of them? a


a:
DFT (PBE) results for KSrTa2 after structural relaxation.

Lattice parameters (Å, degrees): 4.447 4.447 7.779 90.00 90.00 90.00
Site moments in Bohr magnetons follow the coordinates.
Fractional positions:
Ta1 0.000 0.000 0.898  0.21
K1 0.500 0.500 0.250  0.00
Sr1 0.500 0.500 0.750  0.03
Ta2 0.000 0.000 0.602  0.21

Output
spin magnetization: 0.64 μB/cell
ρ: 5.28 g/cm3
space group: No. 123


b:
DFT (PBE) results for KSrTa2 after structural relaxation.

Lattice parameters (Å, degrees): 5.989 3.086 7.847 77.44 90.00 90.00
Fractional positions:
Ta1 0.000 0.519 0.612
Sr1 0.500 0.750 0.750
Ta2 0.000 0.981 0.888
K1 0.500 0.250 0.250

Output
spin magnetization: 0.00 μB/cell
ρ: 5.73 g/cm3
space group: No. 10


Quick one: most stable of them? b


a:
DFT (PBE) results for KSrTa2 after structural relaxation.

Lattice parameters (Å, degrees): 4.907 4.907 9.230 88.15 88.15 36.88
Fractional positions:
K1 0.494 0.494 0.559
Sr1 0.262 0.262 0.167
Ta1 0.006 0.006 0.927
Ta2 0.738 0.738 0.847

Output
spin magnetization: 0.00 μB/cell
ρ: 6.09 g/cm3
space group: No. 8


b:
DFT (PBE) results for KSrTa2 after structural relaxation.

Lattice parameters (Å, degrees): 5.992 4.117 4.117 90.00 90.00 90.00
Fractional positions:
Sr1 0.500 0.000 0.500
Ta1 0.000 0.000 0.000
K1 0.500 0.500 0.000
Ta2 0.000 0.500 0.500

Output
spin magnetization: 0.00 μB/cell
ρ: 7.99 g/cm3
space group: No. 123


Quick one: most stable of them? a


a:
DFT (PBE) results for KSrTa2 after structural relaxation.

Lattice parameters (Å, degrees): 6.675 6.675 2.924 90.00 90.00 128.40
Fractional positions:
Ta1 0.000 0.000 0.000
Ta2 0.500 0.500 0.000
Sr1 0.000 0.500 0.500
K1 0.500 0.000 0.500

Output
spin magnetization: 0.00 μB/cell
ρ: 7.95 g/cm3
space group: No. 65


b:
DFT (PBE) results for KSrTa2 after structural relaxation.

Lattice parameters (Å, degrees): 3.222 3.222 11.788 90.00 90.00 107.72
Fractional positions:
Ta1 0.500 0.500 0.194
Sr1 0.500 0.500 0.802
K1 0.000 0.000 0.467
Ta2 0.000 0.000 0.037

Output
spin magnetization: 0.00 μB/cell
ρ: 6.96 g/cm3
space group: No. 35


c:
DFT (PBE) results for KSrTa2 after structural relaxation.

Lattice parameters (Å, degrees): 6.266 6.266 7.576 88.41 88.41 28.06
Site moments in Bohr magnetons follow the coordinates.
Fractional positions:
Sr1 0.250 0.250 0.250  0.02
Ta1 0.994 0.994 0.109  0.10
K1 0.750 0.750 0.750  0.00
Ta2 0.506 0.506 0.391  0.10

Output
spin magnetization: 0.35 μB/cell
ρ: 5.80 g/cm3
space group: No. 12


d:
DFT (PBE) results for KSrTa2 after structural relaxation.

Lattice parameters (Å, degrees): 5.235 5.235 5.235 60.00 60.00 60.00
Fractional positions:
Ta1 0.250 0.250 0.250
Ta2 0.000 0.000 0.000
K1 0.500 0.500 0.500
Sr1 0.750 0.750 0.750

Output
spin magnetization: 0.00 μB/cell
ρ: 8.00 g/cm3
space group: No. 216


Quick one: most stable of them? b


a:
DFT (PBE) results for KSrTa2 after structural relaxation.

Lattice parameters (Å, degrees): 6.836 6.836 6.836 151.39 138.72 50.99
Fractional positions:
Ta1 0.002 0.002 0.000
K1 0.750 0.250 0.500
Ta2 0.498 0.498 0.000
Sr1 0.250 0.750 0.500

Output
spin magnetization: 0.00 μB/cell
ρ: 8.08 g/cm3
space group: No. 71


b:
DFT (PBE) results for KSrTa2 after structural relaxation.

Lattice parameters (Å, degrees): 12.643 12.643 12.643 13.93 13.93 13.93
Fractional positions:
K1 0.250 0.250 0.250
Ta1 0.496 0.496 0.496
Sr1 0.750 0.750 0.750
Ta2 0.004 0.004 0.004

Output
spin magnetization: 0.00 μB/cell
ρ: 7.96 g/cm3
space group: No. 166


c:
DFT (PBE) results for KSrTa2 after structural relaxation.

Lattice parameters (Å, degrees): 3.588 3.588 10.123 90.00 90.00 90.00
Fractional positions:
Sr1 0.500 0.500 0.830
Ta1 0.000 0.000 0.064
Ta2 0.500 0.500 0.164
K1 0.000 0.000 0.442

Output
spin magnetization: 0.00 μB/cell
ρ: 6.23 g/cm3
space group: No. 99


d:
DFT (PBE) results for KSrTa2 after structural relaxation.

Lattice parameters (Å, degrees): 4.088 4.088 12.733 80.76 80.76 90.00
Fractional positions:
Ta1 0.628 0.125 0.250
Sr1 0.000 0.000 0.000
K1 0.250 0.750 0.500
K2 0.500 0.500 0.000
Ta2 0.875 0.878 0.750
Ta3 0.375 0.372 0.750
Sr2 0.750 0.250 0.500
Ta4 0.122 0.625 0.250

Output
spin magnetization: 0.00 μB/cell
ρ: 7.83 g/cm3
space group: No. 122


Quick one: most stable of them? c


a:
DFT (PBE) results for KSrTa2 after structural relaxation.

Lattice parameters (Å, degrees): 3.382 4.812 6.178 90.00 90.00 90.00
Fractional positions:
Sr1 0.000 0.500 0.500
K1 0.500 0.000 0.500
Ta1 0.000 0.000 0.000
Ta2 0.500 0.500 0.000

Output
spin magnetization: 0.00 μB/cell
ρ: 8.07 g/cm3
space group: No. 47


b:
DFT (PBE) results for KSrTa2 after structural relaxation.

Lattice parameters (Å, degrees): 5.418 5.418 5.418 60.00 60.00 60.00
Site moments in Bohr magnetons follow the coordinates.
Fractional positions:
K1 0.000 0.000 0.000  0.03
Sr1 0.500 0.500 0.500  0.12
Ta1 0.250 0.250 0.250  0.88
Ta2 0.750 0.750 0.750  0.88

Output
spin magnetization: 2.92 μB/cell
ρ: 7.22 g/cm3
space group: No. 225


Quick one: most stable of them? a


a:
DFT (PBE) results for KSrTa2 after structural relaxation.

Lattice parameters (Å, degrees): 2.945 2.945 12.447 90.00 90.00 108.16
Fractional positions:
K1 0.500 0.500 0.250
Sr1 0.500 0.500 0.750
Ta1 0.000 0.000 0.985
Ta2 0.000 0.000 0.515

Output
spin magnetization: 0.00 μB/cell
ρ: 7.91 g/cm3
space group: No. 65


b:
DFT (PBE) results for KSrTa2 after structural relaxation.

Lattice parameters (Å, degrees): 2.916 2.916 12.228 90.00 90.00 90.00
Fractional positions:
Ta1 0.000 0.000 0.983
K1 0.500 0.500 0.250
Ta2 0.000 0.000 0.517
Sr1 0.500 0.500 0.750

Output
spin magnetization: 0.00 μB/cell
ρ: 7.80 g/cm3
space group: No. 123


c:
DFT (PBE) results for KSrTa2 after structural relaxation.

Lattice parameters (Å, degrees): 6.909 6.909 6.909 152.29 125.26 62.44
Fractional positions:
Sr1 0.228 0.728 0.500
Ta1 0.956 0.956 0.000
K1 0.522 0.522 0.000
Ta2 0.793 0.293 0.500

Output
spin magnetization: 0.00 μB/cell
ρ: 6.53 g/cm3
space group: No. 44


d:
DFT (PBE) results for KSrTa2 after structural relaxation.

Lattice parameters (Å, degrees): 6.668 6.668 6.668 144.03 144.03 51.78
Fractional positions:
Sr1 0.750 0.250 0.500
K1 0.250 0.750 0.500
Ta1 0.000 0.000 0.000
Ta2 0.500 0.500 0.000

Output
spin magnetization: 0.00 μB/cell
ρ: 7.98 g/cm3
space group: No. 139


Quick one: most stable of them? c


a:
DFT (PBE) results for KSr3Tc after structural relaxation.

Lattice parameters (Å, degrees): 6.085 6.085 6.085 90.00 90.00 90.00
Site moments in Bohr magnetons follow the coordinates.
Fractional positions:
Tc1 0.000 0.000 0.000  1.44
Sr1 0.000 0.500 0.000  0.02
Sr2 0.000 0.000 0.500  -0.01
Sr3 0.500 0.000 0.000  0.03
K1 0.500 0.500 0.500  0.00

Output
spin magnetization: 1.63 μB/cell
ρ: 2.95 g/cm3
space group: No. 221


b:
DFT (PBE) results for KSr3Tc after structural relaxation.

Lattice parameters (Å, degrees): 6.233 6.233 6.233 90.00 90.00 90.00
Site moments in Bohr magnetons follow the coordinates.
Fractional positions:
Sr1 0.500 0.000 0.000  -0.12
Tc1 0.500 0.500 0.500  3.42
K1 0.000 0.000 0.000  -0.14
Sr2 0.000 0.500 0.000  -0.15
Sr3 0.000 0.000 0.500  -0.19

Output
spin magnetization: 1.45 μB/cell
ρ: 2.74 g/cm3
space group: No. 221


Quick one: most stable of them? a


a:
DFT (PBE) results for KSrTc after structural relaxation.

Lattice parameters (Å, degrees): 5.642 5.642 2.935 90.00 90.00 120.00
Site moments in Bohr magnetons follow the coordinates.
Fractional positions:
Sr1 0.333 0.667 0.163  -0.06
Tc1 0.667 0.333 0.665  0.72
K1 0.000 0.000 0.172  -0.01

Output
spin magnetization: 0.69 μB/cell
ρ: 4.61 g/cm3
space group: No. 156


b:
DFT (PBE) results for KSrTc after structural relaxation.

Lattice parameters (Å, degrees): 8.844 8.844 8.844 156.97 156.97 32.80
Site moments in Bohr magnetons follow the coordinates.
Fractional positions:
Sr1 0.709 0.709 0.000  -0.04
K1 0.968 0.968 0.000  0.01
Tc1 0.323 0.323 0.000  1.97

Output
spin magnetization: 2.19 μB/cell
ρ: 3.53 g/cm3
space group: No. 107


Quick one: most stable of them? b